No. 1
The following is a GGA-PBE calculation of a geometry-optimized LuBiN2O structure, from OQMD.

Unit cell a=9.038 b=6.884 c=11.789 alpha=90.00 beta=130.16 gamma=90.00
Fractional coordinates of all 40 atoms:
Lu: 0.380 0.016 0.817
O: 0.513 0.210 0.497
N: 0.711 0.515 0.525
O: 0.487 0.710 0.003
Lu: 0.380 0.484 0.317
O: 0.513 0.290 0.997
N: 0.850 0.247 0.779
Lu: 0.412 0.511 0.827
N: 0.147 0.289 0.678
N: 0.853 0.711 0.322
Bi: 0.140 0.239 0.992
N: 0.150 0.747 0.721
O: 0.516 0.747 0.264
Bi: 0.140 0.261 0.492
O: 0.484 0.247 0.236
N: 0.853 0.789 0.822
Bi: 0.144 0.746 0.901
N: 0.744 0.482 0.944
Lu: 0.412 0.989 0.327
Bi: 0.144 0.754 0.401
N: 0.289 0.015 0.975
N: 0.711 0.985 0.025
O: 0.487 0.790 0.503
N: 0.256 0.518 0.056
Bi: 0.856 0.254 0.099
O: 0.516 0.753 0.764
O: 0.484 0.253 0.736
N: 0.850 0.253 0.279
N: 0.744 0.018 0.444
Lu: 0.620 0.516 0.683
Bi: 0.860 0.761 0.008
N: 0.150 0.753 0.221
N: 0.289 0.485 0.475
N: 0.147 0.211 0.178
Lu: 0.620 0.984 0.183
Lu: 0.588 0.489 0.173
Bi: 0.860 0.739 0.508
Bi: 0.856 0.246 0.599
Lu: 0.588 0.011 0.673
N: 0.256 0.982 0.556

DFT total energy	-6.75	eV/atom
V	560.6	Å³ per cell
magnetic moment	0.00	μB/f.u.

=====

No. 2
The following is a GGA-PBE calculation of a geometry-optimized LuBiNO structure, from OQMD.

Unit cell a=3.622 b=5.694 c=7.069 alpha=90.00 beta=90.00 gamma=90.00
Fractional coordinates of all 8 atoms:
Lu: 0.000 0.512 0.365
N: 0.000 0.405 0.664
O: 0.500 0.355 0.295
Lu: 0.000 0.012 0.635
O: 0.500 0.855 0.705
N: 0.000 0.905 0.336
Bi: 0.500 0.981 0.137
Bi: 0.500 0.481 0.863

DFT total energy	-6.69	eV/atom
V	145.8	Å³ per cell
magnetic moment	0.00	μB/f.u.

=====

What is the formula in the second record? LuBiNO

=====

What is the V in the first record? 560.6 Å³ per cell